[1]
First-principles (GGA-PBE) data for an optimized crystal structure of GaNiHgAu, as listed in OQMD via LeMat-Bulk.

Cell lengths 4.5738, 4.5738, 4.5738 Å; angles 60.00, 60.00, 60.00 degrees
Sites, in units of the cell vectors:
Ga 0.0000 0.0000 0.0000
Au 0.5000 0.5000 0.5000
Ni 0.7500 0.7500 0.7500
Hg 0.2500 0.2500 0.2500

## Properties
size of the total moment: 0.00 μB per formula unit
uncorrected energy: -2.872 eV per atom
space-group type: F-43m, No. 216
crystal system: cubic

[2]
First-principles (GGA-PBE) data for an optimized crystal structure of Pr3Ga2HgPdAu2, as listed in OQMD via LeMat-Bulk.

Cell lengths 4.0333, 7.6932, 7.6932 Å; angles 118.48, 90.00, 90.00 degrees
Sites, in units of the cell vectors:
Pd 0.5000 0.0258 0.0258
Pr 0.5000 0.9970 0.5930
Pr 0.5000 0.4045 0.4045
Pr 0.5000 0.5930 0.9970
Ga 0.0000 0.2427 0.0016
Ga 0.0000 0.0016 0.2427
Au 0.0000 0.3208 0.6660
Au 0.0000 0.6660 0.3208
Hg 0.0000 0.7486 0.7486

## Properties
size of the total moment: 0.01 μB per formula unit
uncorrected energy: -4.329 eV per atom
space-group type: Amm2, No. 38
crystal system: orthorhombic

[3]
First-principles (GGA-PBE) data for an optimized crystal structure of HoGaAu, as listed in OQMD via LeMat-Bulk.

Cell lengths 4.6364, 4.6364, 4.6364 Å; angles 60.00, 60.00, 60.00 degrees
Sites, in units of the cell vectors:
Ga 0.2500 0.2500 0.2500
Au 0.0000 0.0000 0.0000
Ho 0.7500 0.7500 0.7500

## Properties
size of the total moment: 0.09 μB per formula unit
uncorrected energy: -4.261 eV per atom
space-group type: F-43m, No. 216
crystal system: cubic

[4]
First-principles (GGA-PBE) data for an optimized crystal structure of Ho2GaAu, as listed in OQMD via LeMat-Bulk.

Cell lengths 4.4915, 5.8345, 5.8345 Å; angles 38.03, 90.00, 90.00 degrees
Sites, in units of the cell vectors:
Ga 0.5000 0.9173 0.9173
Au 0.0000 0.0811 0.0811
Ho 0.0000 0.3584 0.3584
Ho 0.5000 0.6432 0.6432

## Properties
size of the total moment: 0.00 μB per formula unit
uncorrected energy: -4.597 eV per atom
space-group type: Amm2, No. 38
crystal system: orthorhombic